A plane-wave DFT calculation with PBE-GGA was carried out for a relaxed structure of Sc5Cu2Bi.

Results
As for the density of states at the Fermi level: 1.275 states/eV/atom. Its size of the total moment is 0.0 μB/f.u. The calculation puts the total energy at -5.80 eV/atom. The formation energy comes out at -0.335 eV/atom.

Lattice parameters (Å, degrees): 7.4891 7.4891 12.1665 90.00 90.00 90.00
Last column: nearest neighbours and their distance in Å.
Space group I4/mcm (No. 140)
Symmetry-distinct sites (fractional):
Sc 0.0000 0.0000 0.0000  4 Cu 2.92, 2 Bi 3.04
Sc 0.1536 0.3464 0.1384  3 Cu 2.73-2.82
Cu 0.1329 0.3671 0.5000  8 Sc 2.73-2.92, 1 Cu 2.82
Bi 0.0000 0.0000 0.2500  10 Sc 3.04-3.15

---

A plane-wave DFT calculation with PBE-GGA was carried out for a relaxed structure of ScCu2Bi.

Results
As for the density of states at the Fermi level: 0.566 states/eV/atom. Its size of the total moment is 0.0 μB/f.u. The calculation puts the total energy at -4.49 eV/atom. The formation energy comes out at 0.109 eV/atom.

Lattice parameters (Å, degrees): 4.1617 4.1617 19.1576 90.00 90.00 90.00
Last column: nearest neighbours and their distance in Å.
Space group I-42d (No. 122)
Symmetry-distinct sites (fractional):
Sc 0.0000 0.0000 0.0000  4 Cu 2.75, 4 Bi 2.94
Cu 0.2096 0.2500 0.1250  2 Cu 2.72, 2 Sc 2.75, 2 Bi 2.88
Bi 0.0000 0.0000 0.5000  4 Cu 2.88, 4 Sc 2.94

---

A plane-wave DFT calculation with PBE-GGA was carried out for a relaxed structure of Sc2CuBi.

Results
As for the density of states at the Fermi level: 0.786 states/eV/atom. Its size of the total moment is 0.0 μB/f.u. The calculation puts the total energy at -5.30 eV/atom. The formation energy comes out at -0.138 eV/atom. The calculation puts the polymorph energy (0 for the lowest one) at 16.08 kJ per mole of atoms.

Lattice parameters (Å, degrees): 7.5679 7.5679 6.3686 90.00 90.00 90.00
Last column: nearest neighbours and their distance in Å.
Space group I-42d (No. 122)
Symmetry-distinct sites (fractional):
Sc 0.2084 0.2500 0.1250  2 Cu 2.59
Cu 0.0000 0.0000 0.0000  4 Sc 2.59
Bi 0.0000 0.0000 0.5000  4 Sc 3.01, 2 Cu 3.18

---

A plane-wave DFT calculation with PBE-GGA was carried out for a relaxed structure of ScCuBi2.

Results
As for the density of states at the Fermi level: 0.956 states/eV/atom. Its size of the total moment is 0.0 μB/f.u. The calculation puts the total energy at -4.51 eV/atom. The formation energy comes out at 0.035 eV/atom.

Lattice parameters (Å, degrees): 7.2786 7.2786 7.2786 90.00 90.00 90.00
Last column: nearest neighbours and their distance in Å.
Space group Fm-3m (No. 225)
Symmetry-distinct sites (fractional):
Sc 0.0000 0.0000 0.0000  8 Bi 3.15
Cu 0.0000 0.0000 0.5000  8 Bi 3.15
Bi 0.2500 0.2500 0.2500  4 Sc 3.15, 4 Cu 3.15

---

Look up the size of the total moment of the second one. 0.0 μB/f.u.

---

Repeat the third record exactly.
A plane-wave DFT calculation with PBE-GGA was carried out for a relaxed structure of Sc2CuBi.

Results
As for the density of states at the Fermi level: 0.786 states/eV/atom. Its size of the total moment is 0.0 μB/f.u. The calculation puts the total energy at -5.30 eV/atom. The formation energy comes out at -0.138 eV/atom. The calculation puts the polymorph energy (0 for the lowest one) at 16.08 kJ per mole of atoms.

Lattice parameters (Å, degrees): 7.5679 7.5679 6.3686 90.00 90.00 90.00
Last column: nearest neighbours and their distance in Å.
Space group I-42d (No. 122)
Symmetry-distinct sites (fractional):
Sc 0.2084 0.2500 0.1250  2 Cu 2.59
Cu 0.0000 0.0000 0.0000  4 Sc 2.59
Bi 0.0000 0.0000 0.5000  4 Sc 3.01, 2 Cu 3.18